! KV4Bi3O12, relaxed, DFT PBE+U; values from VASP
! - V: 18.0 Å³ per atom
! - Uncorrected energy: -6.531 eV/atom
! - Total magnetization: 0.30 μB per atom
&SYSTEM
  ibrav = 0, nat = 20, ntyp = 4
/
ATOMIC_SPECIES
O 16.00 O.upf
Bi 208.98 Bi.upf
V 50.94 V.upf
K 39.10 K.upf
ATOMIC_POSITIONS crystal
O 0.788 0.044 0.634
O 0.956 0.212 0.366
Bi 0.000 0.553 0.447
O 0.212 0.366 0.956
O 0.500 0.342 0.658
O 0.906 0.500 0.094
O 0.044 0.634 0.788
O 0.634 0.788 0.044
O 0.094 0.906 0.500
V 0.055 0.500 0.945
Bi 0.447 0.000 0.553
V 0.500 0.500 0.500
V 0.500 0.945 0.055
O 0.342 0.658 0.500
O 0.500 0.094 0.906
Bi 0.553 0.447 0.000
V 0.945 0.055 0.500
K 0.000 0.000 0.000
O 0.658 0.500 0.342
O 0.366 0.956 0.212
CELL_PARAMETERS angstrom
7.501 -0.156 -0.216
-1.958 7.242 -0.216
-1.958 -2.504 6.799